VASP calculation (PBEsol) on crystalline SrLa2Si at its relaxed geometry.

a = 4.821 Å, b = 4.862 Å, c = 4.862 Å
α = 90.00°, β = 90.00°, γ = 90.00°
Fractional coordinates of all 4 atoms:
La: 0.000 0.500 0.000
La: 0.000 0.000 0.500
Si: 0.500 0.500 0.500
Sr: 0.500 0.000 0.000

Its calculated total energy is -4.722 eV/atom. The value obtained for the density is 5.73 g/cm³. The value obtained for the total moment is 0.00 Bohr magnetons per cell.